# NbGaF3

Crystalline NbGaF3 at its relaxed geometry (PBE, Alexandria via LeMat-Bulk).

```
NbGaF3
1.0
-3.8823 1.5649 1.2286
-1.9457 -2.4239 -3.0609
-0.4154 -3.2721 2.8551
Ga F Nb
1 3 1
Direct
0.5000 0.5000 0.5000
0.5000 0.0000 0.0000
0.0000 0.0000 0.5000
0.0000 0.5000 0.0000
0.0000 0.0000 0.0000
```

Computed properties:
- Distance to the lowest polymorph of the same formula: 0 meV/atom
- Energy relative to the elements, uncorrected: -1723 meV per atom